# V2CdRhO8

An optimized crystal structure of V2CdRhO8 (PBE with a Hubbard U, Alexandria).

Output
Space-group type = P-3m1, No. 164
Volume = 14.25 A^3/atom
VASP energy = -6.56 eV/atom
Size of the total moment = 0.9 Bohr magnetons per cell

```
V2CdRhO8
1.0
5.641 0.000 0.000
-2.821 4.885 0.000
0.000 0.000 6.204
V Cd Rh O
2 1 1 8
Direct
0.667 0.333 0.280
0.333 0.667 0.720
0.000 0.000 0.500
0.000 0.000 0.000
0.843 0.157 0.204
0.843 0.686 0.204
0.314 0.157 0.204
0.686 0.843 0.796
0.333 0.667 0.455
0.667 0.333 0.545
0.157 0.843 0.796
0.157 0.314 0.796
```